# GGA-PBE SbPPt, relaxed
# Formation energy without anion corrections: 0.021 eV/atom
# VASP energy: -5.1703 eV per atom
data_SbPPt
_symmetry_space_group_name_H-M 'I 4 m m'
_symmetry_Int_Tables_number 107
_symmetry_space_group_name_Hall 'I 4 -2'
_cell_length_a 3.1389
_cell_length_b 3.1389
_cell_length_c 12.0778
_cell_angle_alpha 90.00
_cell_angle_beta 90.00
_cell_angle_gamma 90.00
loop_
_atom_site_label
_atom_site_type_symbol
_atom_site_fract_x
_atom_site_fract_y
_atom_site_fract_z
Sb1 Sb 0.0000 0.0000 0.0000
P1 P 0.0000 0.0000 0.7219
Pt1 Pt 0.0000 0.0000 0.3163